Entry 1:
DFT (GGA-PBE) results for a geometry-optimized Li2GaTeSe structure.

CIF file:
```
data_Li2GaTeSe
_symmetry_space_group_name_H-M 'P 1'
_symmetry_Int_Tables_number 1
_symmetry_space_group_name_Hall 'P 1'
_cell_length_a 4.7728
_cell_length_b 5.1575
_cell_length_c 4.7728
_cell_angle_alpha 90.00
_cell_angle_beta 90.00
_cell_angle_gamma 90.00
loop_
_atom_site_label
_atom_site_fract_x
_atom_site_fract_y
_atom_site_fract_z
Li1 0.0000 0.0000 0.5000
Li2 0.5000 0.0000 0.0000
Te1 0.5000 0.5000 0.5000
Se1 0.0000 0.0000 0.0000
Ga1 0.0000 0.5000 0.0000
```

- Formation energy from raw total energies: -619.2 meV per atom
- V: 117 Å³ per cell
- Raw total energy: -3.315 eV/atom



Entry 2:
DFT (GGA-PBE) results for a geometry-optimized Ba2HoBr2O2 structure.

CIF file:
```
data_Ba2HoBr2O2
_symmetry_space_group_name_H-M 'P 1'
_symmetry_Int_Tables_number 1
_symmetry_space_group_name_Hall 'P 1'
_cell_length_a 4.5380
_cell_length_b 4.5380
_cell_length_c 9.0947
_cell_angle_alpha 104.45
_cell_angle_beta 104.45
_cell_angle_gamma 90.00
loop_
_atom_site_label
_atom_site_fract_x
_atom_site_fract_y
_atom_site_fract_z
O1 0.5000 0.0000 0.0000
O2 0.0000 0.5000 0.0000
Ba1 0.3912 0.3912 0.7824
Ba2 0.6088 0.6088 0.2176
Br1 0.8197 0.8197 0.6394
Br2 0.1803 0.1803 0.3606
Ho1 0.0000 0.0000 0.0000
```

- Formation energy from raw total energies: -2391.9 meV per atom
- V: 175 Å³ per cell
- Raw total energy: -5.490 eV/atom



Entry 3:
DFT (GGA-PBE) results for a geometry-optimized Li8InSn2 structure.

CIF file:
```
data_Li8InSn2
_symmetry_space_group_name_H-M 'P 1'
_symmetry_Int_Tables_number 1
_symmetry_space_group_name_Hall 'P 1'
_cell_length_a 4.6942
_cell_length_b 5.5364
_cell_length_c 8.2015
_cell_angle_alpha 90.66
_cell_angle_beta 106.63
_cell_angle_gamma 90.00
loop_
_atom_site_label
_atom_site_fract_x
_atom_site_fract_y
_atom_site_fract_z
Li1 0.5960 0.4620 0.1921
Li2 0.4040 0.5380 0.8079
Li3 0.9600 0.2611 0.9200
Li4 0.8654 0.8317 0.7309
Li5 0.0400 0.7389 0.0800
Li6 0.1346 0.1683 0.2691
Li7 0.3184 0.0728 0.6368
Li8 0.6816 0.9272 0.3632
Sn1 0.2125 0.6398 0.4249
Sn2 0.7875 0.3602 0.5751
In1 0.5000 0.0000 0.0000
```

- ΔE_f: -0.2971 eV/atom
- V: 204 Å³ per cell
- Raw total energy: -2.666 eV/atom
- Polymorph energy (0 for the lowest one): 2.6 meV/atom



Entry 4:
DFT (GGA-PBE) results for a geometry-optimized Cd2FeSb structure.

CIF file:
```
data_Cd2FeSb
_symmetry_space_group_name_H-M 'P 1'
_symmetry_Int_Tables_number 1
_symmetry_space_group_name_Hall 'P 1'
_cell_length_a 3.8886
_cell_length_b 3.8873
_cell_length_c 5.5363
_cell_angle_alpha 90.00
_cell_angle_beta 90.00
_cell_angle_gamma 90.00
loop_
_atom_site_label
_atom_site_fract_x
_atom_site_fract_y
_atom_site_fract_z
Cd1 0.0000 0.0000 0.0110
Cd2 0.0000 0.0000 0.4890
Fe1 0.5000 0.5000 0.2500
Sb1 0.5000 0.5000 0.7500
```

- Formation energy from raw total energies: 357.3 meV per atom
- V: 84 Å³ per cell
- Raw total energy: -3.247 eV/atom



Entry 5:
DFT (GGA-PBE) results for a geometry-optimized PuNpSb2 structure.

CIF file:
```
data_PuNpSb2
_symmetry_space_group_name_H-M 'P 1'
_symmetry_Int_Tables_number 1
_symmetry_space_group_name_Hall 'P 1'
_cell_length_a 3.1955
_cell_length_b 5.7105
_cell_length_c 5.7105
_cell_angle_alpha 90.00
_cell_angle_beta 90.00
_cell_angle_gamma 90.00
loop_
_atom_site_label
_atom_site_fract_x
_atom_site_fract_y
_atom_site_fract_z
Pu1 0.5000 0.5000 0.5000
Sb1 0.0000 0.5000 0.0000
Sb2 0.0000 0.0000 0.5000
Np1 0.5000 0.0000 0.0000
```

- Formation energy from raw total energies: -432.5 meV per atom
- V: 104 Å³ per cell
- Raw total energy: -9.312 eV/atom
- Polymorph energy (0 for the lowest one): 0.0 meV/atom



Entry 6:
DFT (GGA-PBE) results for a geometry-optimized V2CuNi structure.

CIF file:
```
data_V2CuNi
_symmetry_space_group_name_H-M 'P 1'
_symmetry_Int_Tables_number 1
_symmetry_space_group_name_Hall 'P 1'
_cell_length_a 6.6632
_cell_length_b 6.6632
_cell_length_c 5.2802
_cell_angle_alpha 50.88
_cell_angle_beta 50.88
_cell_angle_gamma 90.00
loop_
_atom_site_label
_atom_site_fract_x
_atom_site_fract_y
_atom_site_fract_z
Ni1 0.5000 0.5000 0.0000
Ni2 0.2500 0.7500 0.5000
V1 0.6028 0.1250 0.2500
V2 0.8750 0.8528 0.7500
V3 0.1472 0.6250 0.2500
V4 0.3750 0.3972 0.7500
Cu1 0.0000 0.0000 0.0000
Cu2 0.7500 0.2500 0.5000
```

- ΔE_f: 0.3798 eV/atom
- V: 106 Å³ per cell
- Raw total energy: -6.649 eV/atom



Entry 7:
DFT (GGA-PBE) results for a geometry-optimized HfP2PbS structure.

CIF file:
```
data_HfP2PbS
_symmetry_space_group_name_H-M 'P 1'
_symmetry_Int_Tables_number 1
_symmetry_space_group_name_Hall 'P 1'
_cell_length_a 5.0410
_cell_length_b 5.0410
_cell_length_c 4.9062
_cell_angle_alpha 90.00
_cell_angle_beta 90.00
_cell_angle_gamma 90.00
loop_
_atom_site_label
_atom_site_fract_x
_atom_site_fract_y
_atom_site_fract_z
Hf1 0.0000 0.0000 0.0000
Pb1 0.5000 0.5000 0.5000
S1 0.0000 0.0000 0.5000
P1 0.0000 0.5000 0.0000
P2 0.5000 0.0000 0.0000
```

- Formation energy from raw total energies: -164.5 meV per atom
- V: 125 Å³ per cell
- Raw total energy: -5.886 eV/atom
- Polymorph energy (0 for the lowest one): 0.0 meV/atom



Entry 8:
DFT (GGA-PBE) results for a geometry-optimized Ac4SiSeBr2 structure.

CIF file:
```
data_Ac4SiSeBr2
_symmetry_space_group_name_H-M 'P 1'
_symmetry_Int_Tables_number 1
_symmetry_space_group_name_Hall 'P 1'
_cell_length_a 4.5745
_cell_length_b 7.9214
_cell_length_c 7.8325
_cell_angle_alpha 70.26
_cell_angle_beta 90.00
_cell_angle_gamma 90.00
loop_
_atom_site_label
_atom_site_fract_x
_atom_site_fract_y
_atom_site_fract_z
Br1 0.0000 0.0000 0.0000
Br2 0.5000 0.0000 0.5000
Ac1 0.0000 0.7194 0.7511
Ac2 0.5000 0.7174 0.2687
Ac3 0.5000 0.2826 0.7313
Ac4 0.0000 0.2806 0.2489
Si1 0.0000 0.5000 0.5000
Se1 0.5000 0.5000 0.0000
```

- Formation energy from raw total energies: -1298.9 meV per atom
- V: 267 Å³ per cell
- Raw total energy: -4.885 eV/atom



Entry 9:
DFT (GGA-PBE) results for a geometry-optimized Cs3Rb4Au2 structure.

CIF file:
```
data_Cs3Rb4Au2
_symmetry_space_group_name_H-M 'P 1'
_symmetry_Int_Tables_number 1
_symmetry_space_group_name_Hall 'P 1'
_cell_length_a 9.5359
_cell_length_b 14.3578
_cell_length_c 11.9351
_cell_angle_alpha 53.02
_cell_angle_beta 75.68
_cell_angle_gamma 90.00
loop_
_atom_site_label
_atom_site_fract_x
_atom_site_fract_y
_atom_site_fract_z
Cs1 0.7500 0.5890 0.0000
Cs2 0.2880 0.9940 0.2670
Cs3 0.7120 0.0060 0.7330
Cs4 0.2120 0.2610 0.7330
Cs5 0.2500 0.4110 0.0000
Cs6 0.7880 0.7390 0.2670
Au1 0.9289 0.8779 0.5769
Au2 0.5711 0.4548 0.4231
Au3 0.0711 0.1221 0.4231
Au4 0.4289 0.5452 0.5769
Rb1 0.0718 0.6291 0.6207
Rb2 0.1629 0.8893 0.7578
Rb3 0.5718 0.7502 0.6207
Rb4 0.9282 0.3709 0.3793
Rb5 0.3371 0.6470 0.2422
Rb6 0.8371 0.1107 0.2422
Rb7 0.4282 0.2498 0.3793
Rb8 0.6629 0.3530 0.7578
```

- ΔE_f: -0.1297 eV/atom
- V: 1241 Å³ per cell
- Raw total energy: -1.573 eV/atom



Entry 10:
DFT (GGA-PBE) results for a geometry-optimized Ti3SnS structure.

CIF file:
```
data_Ti3SnS
_symmetry_space_group_name_H-M 'P 1'
_symmetry_Int_Tables_number 1
_symmetry_space_group_name_Hall 'P 1'
_cell_length_a 5.1314
_cell_length_b 5.1314
_cell_length_c 5.1314
_cell_angle_alpha 90.00
_cell_angle_beta 90.00
_cell_angle_gamma 90.00
loop_
_atom_site_label
_atom_site_fract_x
_atom_site_fract_y
_atom_site_fract_z
Ti1 0.5000 0.0000 0.0000
Ti2 0.0000 0.0000 0.5000
Ti3 0.0000 0.5000 0.0000
Sn1 0.0000 0.0000 0.0000
S1 0.5000 0.5000 0.5000
```

- Formation energy from raw total energies: 997.9 meV per atom
- V: 135 Å³ per cell
- Raw total energy: -5.365 eV/atom
- Polymorph energy (0 for the lowest one): 1569.0 meV/atom



Entry 11:
DFT (GGA-PBE) results for a geometry-optimized Sr2LaAs2 structure.

CIF file:
```
data_Sr2LaAs2
_symmetry_space_group_name_H-M 'P 1'
_symmetry_Int_Tables_number 1
_symmetry_space_group_name_Hall 'P 1'
_cell_length_a 8.4099
_cell_length_b 8.4099
_cell_length_c 4.3250
_cell_angle_alpha 90.00
_cell_angle_beta 90.00
_cell_angle_gamma 90.00
loop_
_atom_site_label
_atom_site_fract_x
_atom_site_fract_y
_atom_site_fract_z
La1 0.0000 0.0000 0.0000
La2 0.5000 0.5000 0.0000
As1 0.3328 0.8328 0.0000
As2 0.1672 0.3328 0.0000
As3 0.8328 0.6672 0.0000
As4 0.6672 0.1672 0.0000
Sr1 0.1412 0.6412 0.5000
Sr2 0.8588 0.3588 0.5000
Sr3 0.3588 0.1412 0.5000
Sr4 0.6412 0.8588 0.5000
```

- ΔE_f: -1.0623 eV/atom
- V: 306 Å³ per cell
- Raw total energy: -4.580 eV/atom
- Polymorph energy (0 for the lowest one): 0.0 meV/atom



Entry 12:
DFT (GGA-PBE) results for a geometry-optimized Ca2Tl3Ag structure.

CIF file:
```
data_Ca2Tl3Ag
_symmetry_space_group_name_H-M 'P 1'
_symmetry_Int_Tables_number 1
_symmetry_space_group_name_Hall 'P 1'
_cell_length_a 3.6505
_cell_length_b 5.0890
_cell_length_c 8.8812
_cell_angle_alpha 90.00
_cell_angle_beta 90.00
_cell_angle_gamma 90.00
loop_
_atom_site_label
_atom_site_fract_x
_atom_site_fract_y
_atom_site_fract_z
Tl1 0.5000 0.0000 0.8362
Tl2 0.5000 0.5000 0.6524
Tl3 0.5000 0.0000 0.1794
Ca1 0.0000 0.0000 0.4914
Ca2 0.0000 0.5000 0.0125
Ag1 0.5000 0.5000 0.3281
```

- ΔE_f: -0.2810 eV/atom
- V: 165 Å³ per cell
- Raw total energy: -2.607 eV/atom



- Which value of raw total energy does entry 6 give?
  -6.649 eV/atom



- What is the raw total energy in the first record?
  -3.315 eV/atom